# EuZnSnWO6 (GGA+U, relaxed)
data_EuZnSnWO6
_chemical_formula_sum 'Eu4 Zn4 Sn4 W4 O24'
_cell_length_a 8.057
_cell_length_b 8.057
_cell_length_c 8.057
_cell_angle_alpha 90.00
_cell_angle_beta 90.00
_cell_angle_gamma 90.00
_symmetry_space_group_name_H-M 'F -4 3 m'
_symmetry_Int_Tables_number 216
_symmetry_space_group_name_Hall 'F -4 2 3'
loop_
_atom_site_label
_atom_site_type_symbol
_atom_site_fract_x
_atom_site_fract_y
_atom_site_fract_z
Eu1 Eu 0.000 0.000 0.000
Zn1 Zn 0.250 0.250 0.250
Sn1 Sn 0.000 0.000 0.500
W1 W 0.250 0.250 0.750
O1 O 0.008 0.250 0.750
# Calculated volume ... 523 Å³/cell
# Energy ... -0.2618 Ha/atom
# Total magnetization ... 28.04 μB per cell
# N(E_F) ... 7.32 states/eV/f.u.